Entry 1:
Entry from Alexandria via LeMat-Bulk: a geometry-optimized TbTmInGa structure (GGA-PBE).

The structure in extended XYZ format:
```
4
Lattice="5.175 0.000 0.000 2.588 4.482 0.000 2.588 1.494 4.225" Properties=species:S:1:pos:R:3 pbc="T T T"
Tm 5.175 2.988 2.113
Ga 2.588 1.494 1.056
Tb 0.000 0.000 0.000
In 7.763 4.482 3.169
```

V ... 98.0 Å³/cell
E ... -4.206 eV/atom
Formation enthalpy at 0 K ... -0.489 eV per atom
Distance to the lowest polymorph of the same formula ... 19 meV/atom
Crystal system ... cubic


Entry 2:
Entry from Alexandria via LeMat-Bulk: a geometry-optimized Th4Te2AsPd structure (GGA-PBE).

The structure in extended XYZ format:
```
8
Lattice="-2.376 1.863 -2.962 -5.554 -5.016 1.300 -1.088 6.070 4.691" Properties=species:S:1:pos:R:3 pbc="T T T"
Te -1.732 3.966 0.864
Th -2.345 3.413 4.027
As 0.000 0.000 0.000
Th -4.297 -2.358 1.963
Pd -3.965 -1.576 -0.831
Th -6.262 1.842 3.162
Te -3.321 0.527 2.995
Th -2.755 1.075 -0.133
```

V ... 236.6 Å³/cell
E ... -6.789 eV/atom
ΔE_f (raw) ... -1.0636 eV per atom
Crystal system ... monoclinic


Entry 3:
Entry from Alexandria via LeMat-Bulk: a geometry-optimized Mg14NiBi structure (GGA-PBE).

The structure in extended XYZ format:
```
16
Lattice="-0.184 6.237 -1.434 -5.305 -3.273 1.459 1.284 2.297 9.823" Properties=species:S:1:pos:R:3 pbc="T T T"
Mg -4.155 -1.158 3.366
Ni -0.255 6.061 3.880
Mg -0.904 4.835 6.690
Mg -3.599 -0.104 0.495
Mg -1.499 3.771 2.140
Bi -3.026 0.915 5.446
Mg -3.682 2.974 -0.214
Mg -0.319 2.560 4.707
Mg -1.412 0.527 2.791
Mg -3.637 3.168 7.533
Mg -3.142 4.084 4.720
Mg -0.794 1.633 7.520
Mg -4.255 2.062 2.804
Mg -0.984 1.517 -0.226
Mg -1.055 4.619 -0.942
Mg -3.493 0.026 8.426
```

V ... 354.7 Å³/cell
E ... -1.990 eV/atom
Formation enthalpy at 0 K ... 0.009 eV per atom
Distance to the lowest polymorph of the same formula ... 12 meV/atom
Crystal system ... orthorhombic


Entry 4:
Entry from Alexandria via LeMat-Bulk: a geometry-optimized Sm8Al2Sb structure (GGA-PBE).

The structure in extended XYZ format:
```
11
Lattice="-1.706 -3.102 -3.629 4.169 -5.088 2.389 -7.517 0.325 6.796" Properties=species:S:1:pos:R:3 pbc="T T T"
Sm -7.742 -3.913 3.442
Sm -4.512 -3.720 5.299
Sm -2.791 -5.763 2.696
Sm 2.689 -3.952 2.114
Sm 0.529 -6.904 2.111
Sm -2.263 -2.102 2.860
Al -0.024 -4.242 3.637
Sm -0.542 -4.145 0.256
Sm -5.582 -0.961 3.445
Al -5.030 -3.622 1.919
Sb -0.853 -1.551 -1.815
```

V ... 337.8 Å³/cell
E ... -4.770 eV/atom
ΔE_f (raw) ... -0.2829 eV per atom
Crystal system ... monoclinic


Entry 5:
Entry from Alexandria via LeMat-Bulk: a geometry-optimized RbScRhSe2 structure (GGA-PBE).

The structure in extended XYZ format:
```
5
Lattice="-0.228 -3.014 -4.419 4.831 -0.033 -0.227 0.111 -4.424 3.012" Properties=species:S:1:pos:R:3 pbc="T T T"
Se 0.056 -2.212 1.506
Se -0.114 -1.507 -2.209
Rh 2.416 -0.017 -0.113
Rb 2.357 -3.736 -0.817
Sc 0.000 0.000 0.000
```

V ... 138.6 Å³/cell
E ... -4.735 eV/atom
ΔE_f (raw) ... -0.4111 eV per atom
Crystal system ... tetragonal


Entry 6:
Entry from Alexandria via LeMat-Bulk: a geometry-optimized GdLuAlPb structure (GGA-PBE).

The structure in extended XYZ format:
```
4
Lattice="5.274 0.000 0.000 2.637 4.567 0.000 2.637 1.522 4.306" Properties=species:S:1:pos:R:3 pbc="T T T"
Lu 0.000 0.000 0.000
Al 7.911 4.567 3.230
Gd 5.274 3.045 2.153
Pb 2.637 1.522 1.077
```

V ... 103.7 Å³/cell
E ... -6.825 eV/atom
Formation enthalpy at 0 K ... -0.312 eV per atom
Crystal system ... cubic


Entry 7:
Entry from Alexandria via LeMat-Bulk: a geometry-optimized Ca2SiPd structure (GGA-PBE).

The structure in extended XYZ format:
```
8
Lattice="-2.568 1.914 -2.942 -0.889 -4.920 -2.426 -5.912 1.980 6.450" Properties=species:S:1:pos:R:3 pbc="T T T"
Pd -5.273 -0.032 2.975
Ca -4.742 -2.270 1.055
Ca -1.751 -3.248 -2.192
Si -2.317 -1.008 -0.240
Ca -7.618 2.223 3.275
Ca -4.627 1.245 0.028
Si -7.052 -0.017 1.323
Pd -4.096 -0.993 -1.892
```

V ... 198.3 Å³/cell
E ... -4.289 eV/atom
ΔE_f (raw) ... -0.6341 eV per atom
Crystal system ... monoclinic


Entry 8:
Entry from Alexandria via LeMat-Bulk: a geometry-optimized DySnPb2 structure (GGA-PBE).

The structure in extended XYZ format:
```
4
Lattice="-3.763 2.078 -2.267 -2.926 -1.434 3.542 0.845 4.107 2.362" Properties=species:S:1:pos:R:3 pbc="T T T"
Pb -1.463 -0.717 1.771
Dy -2.922 2.376 1.818
Sn -1.881 1.039 -1.134
Pb 0.423 2.054 1.181
```

V ... 112.6 Å³/cell
E ... -4.321 eV/atom
Formation enthalpy at 0 K ... -0.316 eV per atom
Distance to the lowest polymorph of the same formula ... 0 meV/atom
Crystal system ... tetragonal


Magnetic moment for every record listed, in sequence, given in μB per atom: 0.00; 0.00; 0.00; 0.00; 0.15; 1.77; 0.00; 0.00.